Run i
A relaxed Co2SeCl crystal, computed with PBE-GGA.

## Properties
**D(E_F)**: 7.18 states/eV/f.u.

a = 5.084 Å, b = 5.084 Å, c = 5.084 Å
α = 144.32°, β = 100.86°, γ = 89.96°
Last column: magnetic moment on the atom in μB.
Sites, in units of the cell vectors:
Co  0.996  0.996  0.000  1.75
Co  0.504  0.504  0.000  1.75
Se  0.750  0.250  0.500  0.14
Cl  0.250  0.750  0.500  0.07

Run ii
A relaxed Co2SeCl crystal, computed with PBE-GGA.

## Properties
**D(E_F)**: 6.37 states/eV/f.u.

a = 3.584 Å, b = 6.105 Å, c = 3.232 Å
α = 90.00°, β = 90.00°, γ = 90.00°
Last column: magnetic moment on the atom in μB.
Sites, in units of the cell vectors:
Co  0.000  0.000  0.000  1.70
Co  0.500  0.500  0.000  2.07
Se  0.500  0.000  0.500  0.15
Cl  0.000  0.500  0.500  0.10

Short version: run ii is the least stable of them.

Run i
A relaxed Co2SeCl crystal, computed with PBE-GGA.

## Properties
**D(E_F)**: 6.08 states/eV/f.u.

a = 3.233 Å, b = 3.234 Å, c = 7.083 Å
α = 90.00°, β = 90.00°, γ = 90.00°
Last column: magnetic moment on the atom in μB.
Sites, in units of the cell vectors:
Co  0.000  0.000  0.039  1.76
Co  0.500  0.500  0.218  1.08
Se  0.000  0.000  0.360  -0.01
Cl  0.500  0.500  0.882  0.14

Run ii
A relaxed Co2SeCl crystal, computed with PBE-GGA.

## Properties
**D(E_F)**: 6.36 states/eV/f.u.

a = 3.147 Å, b = 3.223 Å, c = 6.232 Å
α = 89.95°, β = 90.00°, γ = 90.00°
Last column: magnetic moment on the atom in μB.
Sites, in units of the cell vectors:
Co  0.000  0.751  0.055  1.54
Co  0.000  0.749  0.445  1.54
Se  0.500  0.250  0.250  0.04
Cl  0.500  0.750  0.750  0.08

Short version: run ii is the least stable of them.

Run i
A relaxed Co2SeCl crystal, computed with PBE-GGA.

## Properties
**D(E_F)**: 8.07 states/eV/f.u.

a = 7.285 Å, b = 7.285 Å, c = 7.285 Å
α = 28.66°, β = 28.66°, γ = 28.66°
Last column: magnetic moment on the atom in μB.
Sites, in units of the cell vectors:
Co  0.988  0.988  0.988  1.64
Co  0.251  0.251  0.251  -0.70
Se  0.550  0.550  0.550  0.00
Cl  0.711  0.711  0.711  0.10

Run ii
A relaxed Co2SeCl crystal, computed with PBE-GGA.

## Properties
**D(E_F)**: 8.74 states/eV/f.u.

a = 6.699 Å, b = 6.699 Å, c = 6.699 Å
α = 150.59°, β = 150.59°, γ = 42.07°
Last column: magnetic moment on the atom in μB.
Sites, in units of the cell vectors:
Co  0.000  0.000  0.000  1.62
Co  0.250  0.750  0.500  2.07
Se  0.500  0.500  0.000  0.14
Cl  0.750  0.250  0.500  0.10

Short version: run ii is the least stable of them.

Run i
A relaxed Co2SeCl crystal, computed with PBE-GGA.

## Properties
**D(E_F)**: 7.41 states/eV/f.u.

a = 4.265 Å, b = 4.265 Å, c = 4.265 Å
α = 60.00°, β = 60.00°, γ = 60.00°
Last column: magnetic moment on the atom in μB.
Sites, in units of the cell vectors:
Co  0.250  0.250  0.250  0.46
Co  0.750  0.750  0.750  0.46
Se  0.500  0.500  0.500  -0.02
Cl  0.000  0.000  0.000  0.01

Run ii
A relaxed Co2SeCl crystal, computed with PBE-GGA.

## Properties
**D(E_F)**: 3.30 states/eV/f.u.

a = 3.638 Å, b = 3.638 Å, c = 6.435 Å
α = 89.70°, β = 90.00°, γ = 90.00°
Last column: magnetic moment on the atom in μB.
Sites, in units of the cell vectors:
Co  0.000  0.875  0.127  1.67
Co  0.500  0.375  0.127  1.67
Se  0.000  0.373  0.358  0.06
Cl  0.500  0.877  0.888  0.17

Short version: run i is the least stable of them.